## w
# TlNiCl2

An optimized crystal structure of TlNiCl2 (PBEsol, the Alexandria database).

**Space group**: P4mm, No. 99
**Crystal system**: tetragonal

Geometry as CIF:
```
data_TlNiCl2
_space_group_name_H-M_alt 'P 1'
_space_group_IT_number 1
_cell_length_a 3.361
_cell_length_b 3.361
_cell_length_c 7.805
_cell_angle_alpha 90.00
_cell_angle_beta 90.00
_cell_angle_gamma 90.00
loop_
_space_group_symop_operation_xyz
'x,y,z'
loop_
_atom_site_label
_atom_site_type_symbol
_atom_site_fract_x
_atom_site_fract_y
_atom_site_fract_z
Tl1 Tl 0.000 0.000 0.000
Ni1 Ni 0.500 0.500 0.523
Cl1 Cl 0.000 0.000 0.583
Cl2 Cl 0.500 0.500 0.236
```


## x
# TlNiCl2

An optimized crystal structure of TlNiCl2 (PBEsol, the Alexandria database).

**Space group**: P4/mmm, No. 123
**Crystal system**: tetragonal

Geometry as CIF:
```
data_TlNiCl2
_space_group_name_H-M_alt 'P 1'
_space_group_IT_number 1
_cell_length_a 4.932
_cell_length_b 4.932
_cell_length_c 3.427
_cell_angle_alpha 90.00
_cell_angle_beta 90.00
_cell_angle_gamma 90.00
loop_
_space_group_symop_operation_xyz
'x,y,z'
loop_
_atom_site_label
_atom_site_type_symbol
_atom_site_fract_x
_atom_site_fract_y
_atom_site_fract_z
Tl1 Tl 0.000 0.000 0.000
Ni1 Ni 0.500 0.500 0.000
Cl1 Cl 0.000 0.500 0.500
Cl2 Cl 0.500 0.000 0.500
```


Most stable = w